Tl2SiAs after structural relaxation. Source: Alexandria via LeMat-Bulk, functional PBE-GGA.

Symmetry: No. 122
ΔE_f (raw) in eV/atom: 0.4008
N(E_F) in states/eV per atom: 0.655
Distance to the lowest polymorph of the same formula in eV per atom: 0.267
Total DFT energy (no corrections) in eV per atom: -3.30

a b c (Å): 6.3321 6.3321 7.5928
angles (deg): 65.36 65.36 90.00
Closest atoms and distances in Å follow each position.
Atoms (fractional coordinates):
Tl (0.6131, 0.1250, 0.2500)  2 Si 2.67, 2 As 2.76
Tl (0.1369, 0.6250, 0.2500)  2 Si 2.67, 2 As 2.76
Tl (0.8750, 0.8631, 0.7500)  2 Si 2.67, 2 As 2.76
Tl (0.3750, 0.3869, 0.7500)  2 Si 2.67, 2 As 2.76
As (0.0000, 0.0000, 0.0000)  4 Tl 2.76
As (0.7500, 0.2500, 0.5000)  4 Tl 2.76
Si (0.2500, 0.7500, 0.5000)  4 Tl 2.67
Si (0.5000, 0.5000, 0.0000)  4 Tl 2.67



TlSiAs2 after structural relaxation. Source: Alexandria via LeMat-Bulk, functional PBE-GGA.

Symmetry: No. 65
ΔE_f (raw) in eV/atom: 0.5426
N(E_F) in states/eV per atom: 0.286
Distance to the lowest polymorph of the same formula in eV per atom: 0.486
Total DFT energy (no corrections) in eV per atom: -3.73

a b c (Å): 6.1056 6.1056 2.9125
angles (deg): 90.00 90.00 125.88
Closest atoms and distances in Å follow each position.
Atoms (fractional coordinates):
Tl (0.0000, 0.5000, 0.5000)  2 Si 2.78, 2 Tl 2.91
As (0.0000, 0.0000, 0.0000)  4 As 2.78-2.91
As (0.5000, 0.5000, 0.0000)  4 As 2.78-2.91
Si (0.5000, 0.0000, 0.5000)  2 Tl 2.78, 2 Si 2.91



Tl2SiAs after structural relaxation. Source: Alexandria via LeMat-Bulk, functional PBE-GGA.

Symmetry: No. 166
ΔE_f (raw) in eV/atom: 0.5271
N(E_F) in states/eV per atom: 0.738
Distance to the lowest polymorph of the same formula in eV per atom: 0.393
Total DFT energy (no corrections) in eV per atom: -3.17

a b c (Å): 10.6797 10.6797 10.6797
angles (deg): 17.61 17.61 17.61
Closest atoms and distances in Å follow each position.
Atoms (fractional coordinates):
Tl (0.4991, 0.4991, 0.4991)  3 Si 3.21, 3 As 3.26, 6 Tl 3.27
Tl (0.0009, 0.0009, 0.0009)  3 Si 3.21, 3 As 3.26, 6 Tl 3.27
Si (0.7500, 0.7500, 0.7500)  6 Tl 3.21, 6 Si 3.27
As (0.2500, 0.2500, 0.2500)  6 Tl 3.26, 6 As 3.27



TlSi3As after structural relaxation. Source: Alexandria via LeMat-Bulk, functional PBE-GGA.

Symmetry: No. 221
ΔE_f (raw) in eV/atom: 0.9146
N(E_F) in states/eV per atom: 0.524
Distance to the lowest polymorph of the same formula in eV per atom: 0.000
Total DFT energy (no corrections) in eV per atom: -3.74

a b c (Å): 4.9194 4.9194 4.9194
angles (deg): 90.00 90.00 90.00
Closest atoms and distances in Å follow each position.
Atoms (fractional coordinates):
Si (0.0000, 0.5000, 0.0000)  2 As 2.46
Si (0.5000, 0.0000, 0.0000)  2 As 2.46
Si (0.0000, 0.0000, 0.5000)  2 As 2.46
Tl (0.5000, 0.5000, 0.5000)  12 Si 3.48
As (0.0000, 0.0000, 0.0000)  6 Si 2.46